Record 1
12
Lattice="3.954 0.000 0.000 0.000 3.954 0.000 0.000 0.000 11.990" Properties=species:S:1:pos:R:3 comment="V2HgPt9 GGA-PBE optimized geometry" crystal_system=tetragonal formation_enthalpy_0k_ev_per_atom=-0.337 pbc="T T T"
V 0.000 0.000 2.025
V 0.000 0.000 9.964
Hg 0.000 0.000 5.995
Pt 0.000 1.977 0.000
Pt 0.000 1.977 3.811
Pt 0.000 1.977 8.179
Pt 1.977 0.000 0.000
Pt 1.977 0.000 3.811
Pt 1.977 0.000 8.179
Pt 1.977 1.977 1.913
Pt 1.977 1.977 5.995
Pt 1.977 1.977 10.077

=====

Record 2
6
Lattice="3.849 0.000 0.000 0.000 3.289 0.000 -0.290 0.000 9.181" Properties=species:S:1:pos:R:3 comment="ZrHCl GGA-PBE optimized geometry" crystal_system=monoclinic energy_ev_per_atom=-5.504 pbc="T T T"
Zr 0.899 0.822 1.050
Zr 2.659 2.467 8.131
H 0.715 2.467 8.976
H 2.843 0.822 0.205
Cl 0.854 2.467 2.999
Cl 2.704 0.822 6.182

=====

Record 3
12
Lattice="5.445 0.000 0.000 -2.723 4.716 0.000 0.000 0.000 8.522" Properties=species:S:1:pos:R:3 comment="RbSmS2O8 GGA-PBE optimized geometry" formation_energy_uncorrected_ev_per_atom=-2.076 crystal_system=trigonal pbc="T T T"
Rb 0.000 0.000 0.000
Sm 0.000 0.000 4.261
S 0.000 3.144 6.233
S 2.723 1.572 2.289
O -0.322 1.781 5.698
O -1.020 4.104 5.698
O 0.000 3.144 7.690
O 1.381 1.169 2.824
O 1.341 3.547 5.698
O 2.723 1.572 0.832
O 3.742 0.612 2.824
O 3.044 2.935 2.824

=====

| no. | spin magnetization (μB/cell) |
| --- | --- |
| 1 | 1.133 |
| 2 | 0.000 |
| 3 | 0.000 |